1.
Computed, not measured: Ba2ScCrPd at its PBEsol-relaxed geometry at the meta-GGA SCAN level of DFT.

Properties
ΔH_f (0 K)	0.96	eV/atom
SG	P4/mmm
E_tot	-27.9352	eV/atom

Geometry as POSCAR:
```
Ba2ScCrPd
1.0
4.3025 0.0000 0.0000
0.0000 6.0768 0.0000
0.0000 0.0000 6.0768
Ba Cr Sc Pd
2 1 1 1
Direct
0.0000 0.5000 0.0000 Ba
0.0000 0.0000 0.5000 Ba
0.5000 0.0000 0.0000 Cr
0.0000 0.0000 0.0000 Sc
0.5000 0.5000 0.5000 Pd
```

=====

2.
Computed, not measured: LiCaTl2 at its PBEsol-relaxed geometry at the meta-GGA SCAN level of DFT.

Properties
ΔH_f (0 K)	-0.43	eV/atom
SG	Pm
E_tot	-39.6238	eV/atom

Geometry as POSCAR:
```
LiCaTl2
1.0
-1.7878 -2.3635 2.0758
3.9176 0.0123 3.3880
-2.2755 4.0198 2.6166
Tl Ca Li
2 1 1
Direct
0.8746 0.5000 0.3238 Tl
0.8744 0.0000 0.9139 Tl
0.3744 0.0000 0.4118 Ca
0.3766 0.5000 0.8504 Li
```